#P
Compound: RbNa2NiF6
Source: Alexandria
Functional: PBE with a Hubbard U
Structure: relaxed

Results
M_tot, μB per formula unit: 0.99

Cell and atoms, written as CIF:
```
data_RbNa2NiF6
_symmetry_space_group_name_H-M 'P 1 21/c 1'
_symmetry_Int_Tables_number 14
_cell_length_a 5.886
_cell_length_b 5.837
_cell_length_c 10.162
_cell_angle_alpha 90.00
_cell_angle_beta 121.51
_cell_angle_gamma 90.00
loop_
_symmetry_equiv_pos_as_xyz
'x,y,z'
'-x,-y,-z'
'-x,y+1/2,-z+1/2'
'x,-y+1/2,z+1/2'
loop_
_atom_site_label
_atom_site_type_symbol
_atom_site_fract_x
_atom_site_fract_y
_atom_site_fract_z
Rb1 Rb 0.000 0.000 0.000
Na1 Na 0.270 0.072 0.771
Ni1 Ni 0.500 0.000 0.500
F1 F 0.140 0.071 0.307
F2 F 0.347 0.630 0.100
F3 F 0.477 0.215 0.069
```


#Q
Compound: RbNa2NiF6
Source: Alexandria
Functional: PBE with a Hubbard U
Structure: relaxed

Results
M_tot, μB per formula unit: 1.00

Cell and atoms, written as CIF:
```
data_RbNa2NiF6
_symmetry_space_group_name_H-M 'F m -3 m'
_symmetry_Int_Tables_number 225
_symmetry_space_group_name_Hall '-F 4 2 3'
_cell_length_a 8.871
_cell_length_b 8.871
_cell_length_c 8.871
_cell_angle_alpha 90.00
_cell_angle_beta 90.00
_cell_angle_gamma 90.00
loop_
_atom_site_label
_atom_site_type_symbol
_atom_site_fract_x
_atom_site_fract_y
_atom_site_fract_z
Rb1 Rb 0.000 0.000 0.000
Na1 Na 0.250 0.250 0.250
Ni1 Ni 0.000 0.000 0.500
F1 F 0.000 0.000 0.286
```


The most stable of them is #P.


#P
Compound: Na2TlNiF6
Source: Alexandria
Functional: PBE with a Hubbard U
Structure: relaxed

Results
M_tot, μB per formula unit: 1.34

Cell and atoms, written as CIF:
```
data_Na2TlNiF6
_symmetry_space_group_name_H-M 'R 3'
_symmetry_Int_Tables_number 146
_symmetry_space_group_name_Hall 'R 3'
_cell_length_a 5.7623
_cell_length_b 5.7623
_cell_length_c 15.1591
_cell_angle_alpha 90.00
_cell_angle_beta 90.00
_cell_angle_gamma 120.00
loop_
_atom_site_label
_atom_site_type_symbol
_atom_site_fract_x
_atom_site_fract_y
_atom_site_fract_z
Na1 Na 0.0000 0.0000 0.0000
Na2 Na 0.0000 0.0000 0.4908
Tl1 Tl 0.0000 0.0000 0.2799
Ni1 Ni 0.0000 0.0000 0.7896
F1 F 0.0033 0.2763 0.8754
F2 F 0.0480 0.7010 0.3880
```


#Q
Compound: Na2TlNiF6
Source: Alexandria
Functional: PBE with a Hubbard U
Structure: relaxed

Results
M_tot, μB per formula unit: 1.28

Cell and atoms, written as CIF:
```
data_Na2TlNiF6
_symmetry_space_group_name_H-M 'F m -3 m'
_symmetry_Int_Tables_number 225
_symmetry_space_group_name_Hall '-F 4 2 3'
_cell_length_a 8.649
_cell_length_b 8.649
_cell_length_c 8.649
_cell_angle_alpha 90.00
_cell_angle_beta 90.00
_cell_angle_gamma 90.00
loop_
_atom_site_label
_atom_site_type_symbol
_atom_site_fract_x
_atom_site_fract_y
_atom_site_fract_z
Na1 Na 0.250 0.250 0.250
Tl1 Tl 0.000 0.000 0.000
Ni1 Ni 0.000 0.000 0.500
F1 F 0.000 0.000 0.270
```


The most stable of them is #P.


#P
Compound: NaNiWF2
Source: Alexandria
Functional: PBE with a Hubbard U
Structure: relaxed

Results
M_tot, μB per formula unit: 4.97

Cell and atoms, written as CIF:
```
data_NaNiWF2
_symmetry_space_group_name_H-M 'P 4/m m m'
_symmetry_Int_Tables_number 123
_symmetry_space_group_name_Hall '-P 4 2'
_cell_length_a 4.216
_cell_length_b 4.216
_cell_length_c 6.898
_cell_angle_alpha 90.00
_cell_angle_beta 90.00
_cell_angle_gamma 90.00
loop_
_atom_site_label
_atom_site_type_symbol
_atom_site_fract_x
_atom_site_fract_y
_atom_site_fract_z
Na1 Na 0.000 0.000 0.000
Ni1 Ni 0.500 0.500 0.000
W1 W 0.000 0.000 0.500
F1 F 0.000 0.500 0.500
```


#Q
Compound: NaNiWF2
Source: Alexandria
Functional: PBE with a Hubbard U
Structure: relaxed

Results
M_tot, μB per formula unit: 3.51

Cell and atoms, written as CIF:
```
data_NaNiWF2
_symmetry_space_group_name_H-M 'P 4/m m m'
_symmetry_Int_Tables_number 123
_symmetry_space_group_name_Hall '-P 4 2'
_cell_length_a 3.981
_cell_length_b 3.981
_cell_length_c 5.510
_cell_angle_alpha 90.00
_cell_angle_beta 90.00
_cell_angle_gamma 90.00
loop_
_atom_site_label
_atom_site_type_symbol
_atom_site_fract_x
_atom_site_fract_y
_atom_site_fract_z
Na1 Na 0.000 0.000 0.000
Ni1 Ni 0.500 0.500 0.500
W1 W 0.000 0.000 0.500
F1 F 0.000 0.500 0.000
```


The most stable of them is #P.